DFT (PBE-GGA) results for a relaxed structure of Zn2Os3.

Properties
Uncorrected energy: -7.047 eV/atom
Total magnetic moment: 0.00 μB per formula unit
Energy of formation: 97 kJ/mol of formula units
Energy above the most stable polymorph in this dataset: 0 meV/atom
Calculated density: 16.2 g/cm3
Space group: R-3m (166)

a = 11.1487 Å, b = 11.1487 Å, c = 11.1487 Å
α = 14.12°, β = 14.12°, γ = 14.12°
Fractional coordinates of all 5 atoms:
Os  0.1985  0.1985  0.1985
Os  0.8015  0.8015  0.8015
Os  0.0000  0.0000  0.0000
Zn  0.6001  0.6001  0.6001
Zn  0.3999  0.3999  0.3999

DFT (PBE-GGA) results for a relaxed structure of Zn5Os4.

Properties
Uncorrected energy: -5.211 eV/atom
Total magnetic moment: 1.54 μB per formula unit
Energy of formation: 424 kJ/mol of formula units
Energy above the most stable polymorph in this dataset: 292 meV/atom
Calculated density: 14.1 g/cm3
Space group: P6_3/mcm (193)

a = 7.6162 Å, b = 7.6162 Å, c = 5.1083 Å
α = 90.00°, β = 90.00°, γ = 60.00°
Site moments in Bohr magnetons follow the coordinates.
Fractional coordinates of all 18 atoms:
Os  0.3521  0.0000  0.2500  0.42
Os  0.0000  0.6479  0.2500  0.42
Os  0.3521  0.6479  0.7500  0.42
Os  0.6479  0.3521  0.2500  0.42
Os  0.6479  0.0000  0.7500  0.42
Os  0.0000  0.3521  0.7500  0.42
Os  0.0000  0.0000  0.5000  0.20
Os  0.0000  0.0000  0.0000  0.20
Zn  0.6858  0.3142  0.7500  0.00
Zn  0.3142  0.6858  0.2500  0.00
Zn  0.3142  0.0000  0.7500  0.00
Zn  0.3333  0.3333  0.0000  0.00
Zn  0.6667  0.6667  0.5000  0.00
Zn  0.6667  0.6667  0.0000  0.00
Zn  0.3333  0.3333  0.5000  0.00
Zn  0.6858  0.0000  0.2500  0.00
Zn  0.0000  0.6858  0.7500  0.00
Zn  0.0000  0.3142  0.2500  0.00

DFT (PBE-GGA) results for a relaxed structure of ZnOs2.

Properties
Uncorrected energy: -7.548 eV/atom
Total magnetic moment: 0.00 μB per formula unit
Energy of formation: 105 kJ/mol of formula units
Energy above the most stable polymorph in this dataset: 230 meV/atom
Calculated density: 17.4 g/cm3
Space group: Cmcm (63)

a = 6.0716 Å, b = 6.0716 Å, c = 3.8366 Å
α = 90.00°, β = 90.00°, γ = 142.95°
Fractional coordinates of all 6 atoms:
Zn  0.9168  0.0832  0.2500
Zn  0.0832  0.9168  0.7500
Os  0.5814  0.4186  0.2500
Os  0.7555  0.2445  0.7500
Os  0.2445  0.7555  0.2500
Os  0.4186  0.5814  0.7500

DFT (PBE-GGA) results for a relaxed structure of ZnOs2.

Properties
Uncorrected energy: -7.276 eV/atom
Total magnetic moment: 0.00 μB per formula unit
Energy of formation: 184 kJ/mol of formula units
Energy above the most stable polymorph in this dataset: 502 meV/atom
Calculated density: 17.3 g/cm3
Space group: P6_3/mmc (194)

a = 4.4027 Å, b = 4.4027 Å, c = 5.1056 Å
α = 90.00°, β = 90.00°, γ = 120.00°
Fractional coordinates of all 6 atoms:
Os  0.0000  0.0000  0.5000
Os  0.0000  0.0000  0.0000
Os  0.3333  0.6667  0.2500
Os  0.6667  0.3333  0.7500
Zn  0.3333  0.6667  0.7500
Zn  0.6667  0.3333  0.2500

DFT (PBE-GGA) results for a relaxed structure of ZnOs4.

Properties
Uncorrected energy: -8.934 eV/atom
Total magnetic moment: 0.00 μB per formula unit
Energy of formation: 147 kJ/mol of formula units
Energy above the most stable polymorph in this dataset: 0 meV/atom
Calculated density: 19.2 g/cm3
Space group: I4/m (87)

a = 4.7251 Å, b = 4.7251 Å, c = 4.7251 Å
α = 99.49°, β = 99.49°, γ = 132.09°
Fractional coordinates of all 5 atoms:
Os  0.4061  0.1992  0.6053
Os  0.8008  0.4061  0.2069
Os  0.1992  0.5939  0.7931
Os  0.5939  0.8008  0.3947
Zn  0.0000  0.0000  0.0000

DFT (PBE-GGA) results for a relaxed structure of Zn3Os2.

Properties
Uncorrected energy: -4.911 eV/atom
Total magnetic moment: 0.00 μB per formula unit
Energy of formation: 167 kJ/mol of formula units
Calculated density: 11.4 g/cm3
Space group: P-3m1 (164)

a = 4.3452 Å, b = 4.3452 Å, c = 5.1184 Å
α = 90.00°, β = 90.00°, γ = 120.00°
Fractional coordinates of all 5 atoms:
Os  0.6667  0.3333  0.0809
Os  0.3333  0.6667  0.9191
Zn  0.3333  0.6667  0.4175
Zn  0.0000  0.0000  0.0000
Zn  0.6667  0.3333  0.5825

DFT (PBE-GGA) results for a relaxed structure of ZnOs2.

Properties
Uncorrected energy: -7.768 eV/atom
Total magnetic moment: 0.00 μB per formula unit
Energy of formation: 41 kJ/mol of formula units
Energy above the most stable polymorph in this dataset: 9 meV/atom
Calculated density: 17.3 g/cm3
Space group: Cmcm (63)

a = 7.1480 Å, b = 7.1480 Å, c = 4.4259 Å
α = 90.00°, β = 90.00°, γ = 157.69°
Fractional coordinates of all 6 atoms:
Zn  0.7755  0.2245  0.2500
Zn  0.2245  0.7755  0.7500
Os  0.4449  0.5551  0.2500
Os  0.1065  0.8935  0.2500
Os  0.8935  0.1065  0.7500
Os  0.5551  0.4449  0.7500

DFT (PBE-GGA) results for a relaxed structure of ZnOs7.

Properties
Uncorrected energy: -9.647 eV/atom
Total magnetic moment: 0.00 μB per formula unit
Energy of formation: 261 kJ/mol of formula units
Calculated density: 20.2 g/cm3
Space group: Fm-3m (225)

a = 5.4591 Å, b = 5.4591 Å, c = 5.4591 Å
α = 60.00°, β = 60.00°, γ = 60.00°
Fractional coordinates of all 8 atoms:
Os  0.5000  0.5000  0.0000
Os  0.5000  0.5000  0.5000
Os  0.5000  0.0000  0.5000
Os  0.0000  0.0000  0.5000
Os  0.0000  0.5000  0.0000
Os  0.0000  0.5000  0.5000
Os  0.5000  0.0000  0.0000
Zn  0.0000  0.0000  0.0000

DFT (PBE-GGA) results for a relaxed structure of ZnOs2.

Properties
Uncorrected energy: -7.659 eV/atom
Total magnetic moment: 0.00 μB per formula unit
Energy of formation: 73 kJ/mol of formula units
Energy above the most stable polymorph in this dataset: 119 meV/atom
Calculated density: 17.2 g/cm3
Space group: Cm (8)

a = 5.1606 Å, b = 5.1606 Å, c = 6.4446 Å
α = 75.67°, β = 75.67°, γ = 31.22°
Fractional coordinates of all 6 atoms:
Os  0.0088  0.0088  0.0039
Os  0.3224  0.3224  0.3326
Os  0.6062  0.6062  0.2795
Os  0.6656  0.6656  0.6700
Zn  0.9450  0.9450  0.6050
Zn  0.2854  0.2854  0.9424

DFT (PBE-GGA) results for a relaxed structure of ZnOs2.

Properties
Uncorrected energy: -7.749 eV/atom
Total magnetic moment: 0.00 μB per formula unit
Energy of formation: 47 kJ/mol of formula units
Energy above the most stable polymorph in this dataset: 29 meV/atom
Calculated density: 17.1 g/cm3
Space group: P-3m1 (164)

a = 2.7497 Å, b = 2.7497 Å, c = 6.6100 Å
α = 90.00°, β = 90.00°, γ = 120.00°
Fractional coordinates of all 3 atoms:
Os  0.3333  0.6667  0.6759
Os  0.0000  0.0000  0.9908
Zn  0.6667  0.3333  0.3333

DFT (PBE-GGA) results for a relaxed structure of Zn5Os3.

Properties
Uncorrected energy: -4.739 eV/atom
Total magnetic moment: 0.00 μB per formula unit
Energy of formation: 207 kJ/mol of formula units
Calculated density: 13.1 g/cm3
Space group: Cmmm (65)

a = 5.4528 Å, b = 5.4528 Å, c = 3.8203 Å
α = 90.00°, β = 90.00°, γ = 93.46°
Fractional coordinates of all 8 atoms:
Os  0.7533  0.7533  0.5000
Os  0.2467  0.2467  0.5000
Os  0.5000  0.5000  0.0000
Zn  0.2520  0.7480  0.5000
Zn  0.0000  0.0000  0.0000
Zn  0.7480  0.2520  0.5000
Zn  0.0000  0.5000  0.0000
Zn  0.5000  0.0000  0.0000

DFT (PBE-GGA) results for a relaxed structure of Zn6Os.

Properties
Uncorrected energy: -1.405 eV/atom
Total magnetic moment: 2.66 μB per formula unit
Energy of formation: 872 kJ/mol of formula units
Calculated density: 6.3 g/cm3
Space group: Im-3m (229)

a = 5.8545 Å, b = 5.8545 Å, c = 5.8545 Å
α = 109.47°, β = 109.47°, γ = 109.47°
Site moments in Bohr magnetons follow the coordinates.
Fractional coordinates of all 7 atoms:
Zn  0.7500  0.5000  0.2500  -0.01
Zn  0.5000  0.7500  0.2500  -0.01
Zn  0.7500  0.2500  0.5000  -0.01
Zn  0.2500  0.5000  0.7500  -0.01
Zn  0.2500  0.7500  0.5000  -0.01
Zn  0.5000  0.2500  0.7500  -0.01
Os  0.0000  0.0000  0.0000  2.65